No. 1
A relaxed structure of Pm12Tm5Pu, computed with PBE. Values from VASP.

Geometry as Quantum ESPRESSO input:
```
&SYSTEM
  ibrav = 0, nat = 18, ntyp = 3
/
ATOMIC_SPECIES
Pm 145.00 Pm.upf
Tm 168.93 Tm.upf
Pu 244.00 Pu.upf
ATOMIC_POSITIONS angstrom
Pm 3.817 5.938 5.915
Pm 1.765 0.000 2.955
Pm 3.799 2.989 2.965
Pm 7.385 5.938 0.005
Pm 3.752 0.000 5.914
Pm 7.403 2.989 2.955
Pm 3.799 -2.989 2.965
Pm 7.450 0.000 0.006
Pm 3.817 -5.938 5.915
Pm 7.403 -2.989 2.955
Pm 9.437 0.000 2.966
Pm 7.385 -5.938 0.005
Tm 5.601 5.949 2.960
Tm 5.602 2.938 0.000
Tm 5.601 0.000 2.960
Tm 5.602 -2.938 0.000
Tm 5.601 -5.949 2.960
Pu 0.000 0.000 0.000
CELL_PARAMETERS angstrom
5.602 -8.926 0.000
5.602 8.926 0.000
-0.002 0.000 5.920
```

## Properties
Its crystal system is monoclinic. Its energy relative to the elements is 2.05 eV per formula unit.

No. 2
A relaxed structure of Pm6Tm3Pu, computed with PBE. Values from VASP.

Geometry as Quantum ESPRESSO input:
```
&SYSTEM
  ibrav = 0, nat = 20, ntyp = 3
/
ATOMIC_SPECIES
Pm 145.00 Pm.upf
Tm 168.93 Tm.upf
Pu 244.00 Pu.upf
ATOMIC_POSITIONS angstrom
Pm -0.010 1.513 0.853
Pm -2.900 3.157 6.600
Pm -2.004 0.164 8.543
Pm 0.886 4.506 2.795
Pm 0.061 1.490 4.933
Pm -2.829 3.179 10.681
Pm 3.157 6.160 0.814
Pm 0.266 7.849 6.561
Pm -0.558 4.834 8.699
Pm 2.332 9.175 2.952
Pm 3.228 6.183 4.894
Pm 0.337 7.826 10.642
Tm -3.520 6.230 8.596
Tm -0.630 7.779 2.848
Tm 3.054 0.000 0.000
Tm 0.164 4.670 5.747
Tm 0.957 1.560 8.646
Tm 3.847 3.110 2.899
Pu -2.890 0.000 5.747
Pu 0.000 4.670 0.000
CELL_PARAMETERS angstrom
6.108 0.000 0.000
0.000 9.340 0.000
-5.780 0.000 11.495
```

## Properties
Its crystal system is monoclinic. Its energy relative to the elements is 2.27 eV per formula unit.

No. 3
A relaxed structure of Pm3Tm6Pu, computed with PBE. Values from VASP.

Geometry as Quantum ESPRESSO input:
```
&SYSTEM
  ibrav = 0, nat = 10, ntyp = 3
/
ATOMIC_SPECIES
Pm 145.00 Pm.upf
Tm 168.93 Tm.upf
Pu 244.00 Pu.upf
ATOMIC_POSITIONS angstrom
Pm 0.000 0.000 0.000
Pm -0.992 2.923 1.726
Pm 4.025 -0.339 6.707
Tm 5.075 -0.198 3.395
Tm -2.042 2.781 5.037
Tm 1.000 1.235 5.865
Tm 1.021 -1.875 7.552
Tm 2.012 4.458 0.880
Tm 2.033 1.349 2.568
Pu 2.039 -1.714 4.216
CELL_PARAMETERS angstrom
6.094 0.000 0.000
-1.046 6.011 0.000
-2.015 -3.428 8.433
```

## Properties
Its crystal system is triclinic. Its energy relative to the elements is 0.48 eV per formula unit.

No. 4
A relaxed structure of Pm8Tm3Pu, computed with PBE. Values from VASP.

Geometry as Quantum ESPRESSO input:
```
&SYSTEM
  ibrav = 0, nat = 12, ntyp = 3
/
ATOMIC_SPECIES
Pm 145.00 Pm.upf
Tm 168.93 Tm.upf
Pu 244.00 Pu.upf
ATOMIC_POSITIONS angstrom
Pm 1.058 2.511 1.516
Pm 2.138 5.930 1.523
Pm 4.140 1.580 3.021
Pm 5.189 5.008 3.024
Pm 5.216 3.144 6.119
Pm 6.266 6.572 6.123
Pm 8.268 2.221 7.620
Pm 9.348 5.641 7.628
Tm 1.045 0.631 4.572
Tm 2.096 4.076 4.572
Tm 3.107 0.000 0.000
Pu 4.158 3.445 0.000
CELL_PARAMETERS angstrom
6.214 0.000 0.000
2.101 6.889 0.000
2.091 1.262 9.144
```

## Properties
Its crystal system is triclinic. Its energy relative to the elements is 0.59 eV per formula unit.

No. 5
A relaxed structure of Pm14TmPu, computed with PBE. Values from VASP.

Geometry as Quantum ESPRESSO input:
```
&SYSTEM
  ibrav = 0, nat = 16, ntyp = 3
/
ATOMIC_SPECIES
Pm 145.00 Pm.upf
Tm 168.93 Tm.upf
Pu 244.00 Pu.upf
ATOMIC_POSITIONS angstrom
Pm 0.000 0.000 0.000
Pm 0.000 3.629 0.000
Pm 0.000 3.629 5.111
Pm 1.807 1.807 2.601
Pm 1.807 1.807 7.621
Pm 1.807 5.450 2.601
Pm 1.807 5.450 7.621
Pm 3.629 0.000 0.000
Pm 3.629 0.000 5.111
Pm 3.629 3.629 0.000
Pm 5.450 1.807 2.601
Pm 5.450 1.807 7.621
Pm 5.450 5.450 2.601
Pm 5.450 5.450 7.621
Tm 3.629 3.629 5.111
Pu 0.000 0.000 5.111
CELL_PARAMETERS angstrom
7.257 0.000 0.000
0.000 7.257 0.000
0.000 0.000 10.222
```

## Properties
Its crystal system is tetragonal. Its energy relative to the elements is 0.67 eV per formula unit.

No. 6
A relaxed structure of Pm8Tm2Pu, computed with PBE. Values from VASP.

Geometry as Quantum ESPRESSO input:
```
&SYSTEM
  ibrav = 0, nat = 11, ntyp = 3
/
ATOMIC_SPECIES
Pm 145.00 Pm.upf
Tm 168.93 Tm.upf
Pu 244.00 Pu.upf
ATOMIC_POSITIONS angstrom
Pm 0.340 0.000 1.795
Pm 1.056 0.000 5.309
Pm 4.612 0.000 4.580
Pm 7.400 0.000 0.382
Pm 8.836 0.000 7.389
Pm 11.624 0.000 3.190
Pm 15.181 0.000 2.461
Pm 15.897 0.000 5.976
Tm 3.885 0.000 1.043
Tm 12.352 0.000 6.728
Pu 8.118 0.000 3.885
CELL_PARAMETERS angstrom
9.182 -2.542 0.000
9.182 2.542 0.000
-2.128 0.000 7.771
```

## Properties
Its crystal system is monoclinic. Its energy relative to the elements is 0.60 eV per formula unit.

No. 7
A relaxed structure of PmTm4Pu, computed with PBE. Values from VASP.

Geometry as Quantum ESPRESSO input:
```
&SYSTEM
  ibrav = 0, nat = 12, ntyp = 3
/
ATOMIC_SPECIES
Pm 145.00 Pm.upf
Tm 168.93 Tm.upf
Pu 244.00 Pu.upf
ATOMIC_POSITIONS angstrom
Pm 1.753 5.075 5.677
Pm 1.753 -5.075 0.000
Tm 1.753 9.101 2.893
Tm 1.753 7.114 0.076
Tm 1.753 3.032 2.890
Tm 1.753 1.001 0.032
Tm 1.753 -1.001 5.709
Tm 1.753 -3.032 8.567
Tm 1.753 -7.114 5.753
Tm 1.753 -9.101 8.570
Pu 1.753 3.016 8.527
Pu 1.753 -3.016 2.850
CELL_PARAMETERS angstrom
1.753 -9.112 0.000
1.753 9.112 0.000
0.000 0.000 11.354
```

## Properties
Its crystal system is orthorhombic. Its energy relative to the elements is 0.33 eV per formula unit.

No. 8
A relaxed structure of PmTm2Pu, computed with PBE. Values from VASP.

Geometry as Quantum ESPRESSO input:
```
&SYSTEM
  ibrav = 0, nat = 4, ntyp = 3
/
ATOMIC_SPECIES
Pm 145.00 Pm.upf
Tm 168.93 Tm.upf
Pu 244.00 Pu.upf
ATOMIC_POSITIONS angstrom
Pm 0.000 0.000 0.000
Tm 0.000 0.000 8.476
Tm 0.000 0.000 14.322
Pu 0.000 0.000 28.483
CELL_PARAMETERS angstrom
1.758 1.015 11.378
-1.758 1.015 11.378
0.000 -2.030 11.378
```

## Properties
Its crystal system is trigonal. The offset from the most stable computed form comes out at 7 meV per atom. Its energy relative to the elements is 0.40 eV per formula unit.

No. 9
A relaxed structure of Pm5Tm2Pu, computed with PBE. Values from VASP.

Geometry as Quantum ESPRESSO input:
```
&SYSTEM
  ibrav = 0, nat = 16, ntyp = 3
/
ATOMIC_SPECIES
Pm 145.00 Pm.upf
Tm 168.93 Tm.upf
Pu 244.00 Pu.upf
ATOMIC_POSITIONS angstrom
Pm 0.127 0.745 3.339
Pm 0.892 1.404 6.684
Pm 0.354 5.887 1.998
Pm 1.781 2.962 0.982
Pm 0.827 6.505 7.572
Pm 3.977 0.688 1.574
Pm 3.023 4.230 8.163
Pm 4.449 1.305 7.147
Pm 3.912 5.788 2.461
Pm 4.677 6.447 5.807
Tm 0.000 0.000 0.000
Tm -1.117 3.596 4.573
Tm 3.240 -0.471 4.573
Tm 2.402 3.596 4.573
Pu -0.773 3.946 7.946
Pu 5.576 3.246 1.200
CELL_PARAMETERS angstrom
7.037 0.000 0.000
-1.677 8.134 0.000
-0.557 -0.942 9.146
```

## Properties
Its crystal system is triclinic. Its energy relative to the elements is 1.61 eV per formula unit.

No. 10
A relaxed structure of PmYTmPu, computed with PBE. Values from VASP.

Geometry as Quantum ESPRESSO input:
```
&SYSTEM
  ibrav = 0, nat = 4, ntyp = 4
/
ATOMIC_SPECIES
Pm 145.00 Pm.upf
Y 88.91 Y.upf
Tm 168.93 Tm.upf
Pu 244.00 Pu.upf
ATOMIC_POSITIONS angstrom
Pm 0.000 0.000 0.000
Y 1.987 1.987 1.987
Tm 5.960 5.960 5.960
Pu 3.973 3.973 3.973
CELL_PARAMETERS angstrom
0.000 3.973 3.973
3.973 0.000 3.973
3.973 3.973 0.000
```

## Properties
Its crystal system is cubic. Its energy relative to the elements is 0.81 eV per formula unit.

No. 11
A relaxed structure of PmPuU, computed with PBE. Values from VASP.

Geometry as Quantum ESPRESSO input:
```
&SYSTEM
  ibrav = 0, nat = 6, ntyp = 3
/
ATOMIC_SPECIES
Pm 145.00 Pm.upf
Pu 244.00 Pu.upf
U 238.03 U.upf
ATOMIC_POSITIONS angstrom
Pm 1.864 7.092 3.829
Pm 1.864 -7.092 1.276
Pu 1.864 2.338 3.829
Pu 1.864 -2.338 1.276
U 1.864 4.215 1.276
U 1.864 -4.215 3.829
CELL_PARAMETERS angstrom
1.864 -8.245 0.000
1.864 8.245 0.000
0.000 0.000 5.106
```

## Properties
Its crystal system is orthorhombic. The offset from the most stable computed form comes out at 0 meV per atom. Its energy relative to the elements is 0.36 eV per formula unit.

No. 12
A relaxed structure of PmPuU, computed with PBE. Values from VASP.

Geometry as Quantum ESPRESSO input:
```
&SYSTEM
  ibrav = 0, nat = 3, ntyp = 3
/
ATOMIC_SPECIES
Pm 145.00 Pm.upf
Pu 244.00 Pu.upf
U 238.03 U.upf
ATOMIC_POSITIONS angstrom
Pm 0.000 0.000 0.000
Pu 0.000 0.000 3.612
U 0.000 0.000 8.900
CELL_PARAMETERS angstrom
-1.744 1.744 6.215
1.744 -1.744 6.215
1.744 1.744 -6.215
```

## Properties
Its crystal system is tetragonal. The offset from the most stable computed form comes out at 147 meV per atom. Its energy relative to the elements is 0.80 eV per formula unit.

No. 13
A relaxed structure of PmPu2U, computed with PBE. Values from VASP.

Geometry as Quantum ESPRESSO input:
```
&SYSTEM
  ibrav = 0, nat = 4, ntyp = 3
/
ATOMIC_SPECIES
Pm 145.00 Pm.upf
Pu 244.00 Pu.upf
U 238.03 U.upf
ATOMIC_POSITIONS angstrom
Pm 0.000 0.000 0.000
Pu 1.661 1.661 2.677
Pu 1.661 1.661 6.503
U 0.000 0.000 4.590
CELL_PARAMETERS angstrom
3.322 0.000 0.000
0.000 3.322 0.000
0.000 0.000 9.180
```

## Properties
Its crystal system is tetragonal. Its energy relative to the elements is 0.86 eV per formula unit.

No. 14
A relaxed structure of PmPuV, computed with PBE. Values from VASP.

Geometry as Quantum ESPRESSO input:
```
&SYSTEM
  ibrav = 0, nat = 6, ntyp = 3
/
ATOMIC_SPECIES
Pm 145.00 Pm.upf
Pu 244.00 Pu.upf
V 50.94 V.upf
ATOMIC_POSITIONS angstrom
Pm 0.003 1.077 3.904
Pm 1.657 3.230 6.362
Pu -0.001 1.077 8.549
Pu 1.661 3.230 1.717
V 0.003 1.077 0.704
V 1.657 3.230 9.563
CELL_PARAMETERS angstrom
3.314 0.000 0.000
0.000 4.307 0.000
-1.654 0.000 10.266
```

## Properties
Its crystal system is monoclinic. Its energy relative to the elements is 0.97 eV per formula unit.

No. 15
A relaxed structure of Pm5Y12Pu, computed with PBE. Values from VASP.

Geometry as Quantum ESPRESSO input:
```
&SYSTEM
  ibrav = 0, nat = 18, ntyp = 3
/
ATOMIC_SPECIES
Pm 145.00 Pm.upf
Y 88.91 Y.upf
Pu 244.00 Pu.upf
ATOMIC_POSITIONS angstrom
Pm 0.000 0.000 0.000
Pm 2.534 0.000 2.533
Pm 5.116 0.000 0.000
Pm 10.106 0.000 0.000
Pm 12.688 0.000 2.533
Y 10.152 -5.075 0.000
Y 5.070 5.075 0.000
Y 7.611 5.075 2.533
Y 5.098 2.527 2.533
Y 10.152 5.075 0.000
Y 7.611 2.510 0.000
Y 10.125 2.527 2.533
Y 5.098 -2.527 2.533
Y 7.611 -2.510 0.000
Y 5.070 -5.075 0.000
Y 10.125 -2.527 2.533
Y 7.611 -5.075 2.533
Pu 7.611 0.000 2.533
CELL_PARAMETERS angstrom
7.611 -7.621 0.000
7.611 7.621 0.000
0.000 0.000 5.065
```

## Properties
Its crystal system is orthorhombic. Its energy relative to the elements is 0.73 eV per formula unit.

No. 16
A relaxed structure of Pm12Y3Pu, computed with PBE. Values from VASP.

Geometry as Quantum ESPRESSO input:
```
&SYSTEM
  ibrav = 0, nat = 16, ntyp = 3
/
ATOMIC_SPECIES
Pm 145.00 Pm.upf
Y 88.91 Y.upf
Pu 244.00 Pu.upf
ATOMIC_POSITIONS angstrom
Pm 0.000 0.000 0.000
Pm 0.000 0.000 5.097
Pm 0.000 0.000 10.229
Pm 0.000 0.000 15.361
Pm 0.000 2.562 2.492
Pm 0.000 2.562 7.651
Pm 0.000 2.562 12.807
Pm 0.000 2.562 17.966
Pm 2.562 0.000 2.492
Pm 2.562 0.000 7.651
Pm 2.562 0.000 12.807
Pm 2.562 0.000 17.966
Y 2.562 2.562 5.089
Y 2.562 2.562 10.229
Y 2.562 2.562 15.368
Pu 2.562 2.562 0.000
CELL_PARAMETERS angstrom
5.124 0.000 0.000
0.000 5.124 0.000
0.000 0.000 20.457
```

## Properties
Its crystal system is tetragonal. Its energy relative to the elements is 0.68 eV per formula unit.

No. 17
A relaxed structure of Pm12Y5Pu, computed with PBE. Values from VASP.

Geometry as Quantum ESPRESSO input:
```
&SYSTEM
  ibrav = 0, nat = 18, ntyp = 3
/
ATOMIC_SPECIES
Pm 145.00 Pm.upf
Y 88.91 Y.upf
Pu 244.00 Pu.upf
ATOMIC_POSITIONS angstrom
Pm 3.794 6.028 5.965
Pm 1.761 0.000 2.969
Pm 3.769 2.988 3.007
Pm 7.420 6.028 0.017
Pm 3.748 0.000 5.961
Pm 7.445 2.988 2.976
Pm 3.769 -2.988 3.007
Pm 7.467 0.000 0.022
Pm 3.794 -6.028 5.965
Pm 7.445 -2.988 2.976
Pm 9.454 0.000 3.014
Pm 7.420 -6.028 0.017
Y 5.607 5.962 2.991
Y 5.610 2.997 0.000
Y 5.607 0.000 2.991
Y 5.610 -2.997 0.000
Y 5.607 -5.962 2.991
Pu 0.000 0.000 0.000
CELL_PARAMETERS angstrom
5.610 -8.997 0.000
5.610 8.997 0.000
-0.005 0.000 5.983
```

## Properties
Its crystal system is monoclinic. Its energy relative to the elements is 2.23 eV per formula unit.

No. 18
A relaxed structure of Pm4Y6Pu, computed with PBE. Values from VASP.

Geometry as Quantum ESPRESSO input:
```
&SYSTEM
  ibrav = 0, nat = 22, ntyp = 3
/
ATOMIC_SPECIES
Pm 145.00 Pm.upf
Y 88.91 Y.upf
Pu 244.00 Pu.upf
ATOMIC_POSITIONS angstrom
Pm 1.250 3.125 2.333
Pm 1.250 3.125 6.999
Pm 3.125 7.500 2.333
Pm 3.125 7.500 6.999
Pm 5.626 1.250 2.333
Pm 5.626 1.250 6.999
Pm 7.500 5.626 2.333
Pm 7.500 5.626 6.999
Y 0.000 0.000 1.605
Y 0.000 0.000 7.727
Y 1.362 5.749 0.000
Y 1.373 5.738 4.666
Y 3.002 1.362 0.000
Y 3.013 1.373 4.666
Y 4.375 4.375 3.061
Y 4.375 4.375 6.271
Y 5.738 7.377 4.666
Y 5.749 7.388 0.000
Y 7.377 3.013 4.666
Y 7.388 3.002 0.000
Pu 0.000 0.000 4.666
Pu 4.375 4.375 0.000
CELL_PARAMETERS angstrom
8.751 0.000 0.000
0.000 8.751 0.000
0.000 0.000 9.332
```

## Properties
Its crystal system is tetragonal. Its energy relative to the elements is 1.96 eV per formula unit.

No. 19
A relaxed structure of Pm4Y5Pu, computed with PBE. Values from VASP.

Geometry as Quantum ESPRESSO input:
```
&SYSTEM
  ibrav = 0, nat = 20, ntyp = 3
/
ATOMIC_SPECIES
Pm 145.00 Pm.upf
Y 88.91 Y.upf
Pu 244.00 Pu.upf
ATOMIC_POSITIONS angstrom
Pm 0.326 2.886 1.434
Pm 2.561 6.568 4.314
Pm 2.561 10.751 4.314
Pm 4.796 2.886 1.434
Pm 5.447 8.659 4.316
Pm 7.682 0.795 1.436
Pm 7.682 4.978 1.436
Pm 9.917 8.659 4.316
Y 0.605 6.431 1.439
Y 0.605 10.888 1.439
Y 2.561 2.886 4.307
Y 4.516 6.431 1.439
Y 4.516 10.888 1.439
Y 5.726 0.658 4.311
Y 5.726 5.115 4.311
Y 7.682 8.659 1.443
Y 9.638 0.658 4.311
Y 9.638 5.115 4.311
Pu 2.561 8.659 1.438
Pu 7.682 2.886 4.312
CELL_PARAMETERS angstrom
10.243 0.000 0.000
0.000 11.546 0.000
0.000 0.000 5.750
```

## Properties
Its crystal system is orthorhombic. Its energy relative to the elements is 2.56 eV per formula unit.

No. 20
A relaxed structure of PmYPu, computed with PBE. Values from VASP.

Geometry as Quantum ESPRESSO input:
```
&SYSTEM
  ibrav = 0, nat = 3, ntyp = 3
/
ATOMIC_SPECIES
Pm 145.00 Pm.upf
Y 88.91 Y.upf
Pu 244.00 Pu.upf
ATOMIC_POSITIONS angstrom
Pm 0.000 0.000 0.000
Y 1.784 1.030 2.944
Pu 0.000 2.060 5.762
CELL_PARAMETERS angstrom
3.569 0.000 0.000
-1.784 3.090 0.000
0.000 0.000 8.616
```

## Properties
Its crystal system is trigonal. The offset from the most stable computed form comes out at 13 meV per atom. Its energy relative to the elements is 0.41 eV per formula unit.